[1]
Below is a relaxed structure of ZnCu2Ni, with properties calculated at the PBE level.

Output
The symmetry is Pmm2. The calculation puts the energy relative to the elements at -0.091 eV per atom. The crystal system is orthorhombic. As for the size of the total moment: 0.00 Bohr magnetons per cell.

a = 2.6132 Å, b = 3.5433 Å, c = 5.2049 Å
α = 90.00°, β = 90.00°, γ = 90.00°
Sites, in units of the cell vectors:
Cu 0.5000 0.5000 0.2522
Cu 0.0000 0.0000 0.0061
Zn 0.5000 0.5000 0.7416
Ni 0.0000 0.0000 0.5002

***

[2]
Below is a relaxed structure of NbFeRhBr2, with properties calculated at the PBE level.

Output
The symmetry is P4/mmm. The crystal system is tetragonal. As for the size of the total moment: 4.04 Bohr magnetons per cell. Its uncorrected formation energy is 4.5 eV/f.u.

a = 5.0345 Å, b = 4.9703 Å, c = 5.0345 Å
α = 90.00°, β = 90.00°, γ = 90.00°
Last column: magnetic moment on the atom in μB.
Sites, in units of the cell vectors:
Rh 0.0000 0.5000 0.0000  0.03
Br 0.5000 0.0000 0.0000  0.04
Fe 0.5000 0.5000 0.5000  3.39
Nb 0.0000 0.0000 0.0000  0.19
Br 0.0000 0.0000 0.5000  0.03

***

no.,volume (A^3/atom)
1,12.05
2,25.20